(1)
Bi13Rh2 | PBE | relaxed

Symmetry   P-1 (2)

Geometry as POSCAR:
```
Bi13Rh2
1.0
5.826 -0.039 0.091
-0.830 9.778 -0.252
-0.513 -5.208 8.473
Bi Rh
13 2
Direct
0.789 0.098 0.371
0.420 0.766 0.850
0.604 0.636 0.365
0.255 0.855 0.278
0.893 0.578 0.667
0.107 0.422 0.333
0.000 0.000 0.000
0.211 0.902 0.629
0.580 0.234 0.150
0.745 0.145 0.722
0.743 0.718 0.099
0.257 0.282 0.901
0.396 0.364 0.635
0.285 0.159 0.317
0.715 0.841 0.683
```

(2)
KBaCa2 | PBE | relaxed

Energy above the most stable polymorph in this dataset   56 meV/atom
Symmetry   P4/mmm (123)

Geometry as POSCAR:
```
KBaCa2
1.0
6.044 0.000 0.000
0.000 5.920 0.000
0.000 0.000 5.920
Ca K Ba
2 1 1
Direct
0.000 0.000 0.000
0.000 0.500 0.500
0.500 0.500 0.000
0.500 0.000 0.500
```

(3)
Mg2AgSn | PBE | relaxed

Symmetry   P4/mmm (123)

Geometry as POSCAR:
```
Mg2AgSn
1.0
4.215 0.000 0.000
0.000 4.449 0.000
0.000 0.000 4.449
Ag Mg Sn
1 2 1
Direct
0.500 0.500 0.500
0.000 0.000 0.500
0.000 0.500 0.000
0.500 0.000 0.000
```

Let's list V in order: 31.703 52.949 20.855 Å³/atom.
Let's list total DFT energy (no corrections) in order: -4.303 -1.608 -2.667 eV per atom.
Let's list ΔH_f (0 K) in order: 0.041 0.148 -0.156 eV per atom.